# 1
Entry from Alexandria via LeMat-Bulk: a relaxed structure of BaTmMgIn (PBE).

POSCAR file:
```
BaTmMgIn
1.0
8.004 0.000 0.000
0.000 8.004 0.000
0.000 0.000 8.004
Ba Tm Mg In
4 4 4 4
Direct
0.000 0.000 0.000 Ba
0.000 0.500 0.500 Ba
0.500 0.000 0.500 Ba
0.500 0.500 0.000 Ba
0.000 0.000 0.500 Tm
0.000 0.500 0.000 Tm
0.500 0.000 0.000 Tm
0.500 0.500 0.500 Tm
0.250 0.250 0.250 Mg
0.250 0.750 0.750 Mg
0.750 0.250 0.750 Mg
0.750 0.750 0.250 Mg
0.250 0.250 0.750 In
0.250 0.750 0.250 In
0.750 0.250 0.250 In
0.750 0.750 0.750 In
```

Results
VASP energy	-2.817	eV per atom
size of the total moment	0.00	μB/atom
SG	F-43m (216)
energy relative to the elements	-0.135	eV per atom

# 2
Entry from Alexandria via LeMat-Bulk: a relaxed structure of BaMg2Zn4In (PBE).

POSCAR file:
```
BaMg2Zn4In
1.0
2.324 1.342 10.160
-2.324 1.342 10.160
0.000 -2.683 10.160
Ba Mg Zn In
1 2 4 1
Direct
0.000 0.000 0.000 Ba
0.234 0.234 0.234 Mg
0.766 0.766 0.766 Mg
0.122 0.122 0.122 Zn
0.406 0.406 0.406 Zn
0.594 0.594 0.594 Zn
0.878 0.878 0.878 Zn
0.500 0.500 0.500 In
```

Results
VASP energy	-1.713	eV per atom
size of the total moment	0.00	μB/atom
SG	R-3m (166)
energy relative to the elements	-0.095	eV per atom

# 3
Entry from Alexandria via LeMat-Bulk: a relaxed structure of BaMgZn2In2 (PBE).

POSCAR file:
```
BaMgZn2In2
1.0
4.756 0.000 0.000
-2.378 4.119 0.000
0.000 0.000 7.982
Ba Mg Zn In
1 1 2 2
Direct
0.000 0.000 0.000 Ba
0.000 0.000 0.500 Mg
0.333 0.667 0.307 Zn
0.667 0.333 0.693 Zn
0.333 0.667 0.698 In
0.667 0.333 0.302 In
```

Results
VASP energy	-2.160	eV per atom
size of the total moment	0.00	μB/atom
SG	P-3m1 (164)
energy relative to the elements	-0.236	eV per atom